No. 1
DyCuI: relaxed, PBE-GGA.

abc: 4.140 4.140 12.188
angles: 90.84 98.88 120.16
Fractional positions:
Dy: 0.104 0.549 0.653
I: 0.549 0.280 0.829
Dy: 0.896 0.451 0.347
Cu: 0.332 0.166 0.498
Cu: 0.668 0.834 0.502
I: 0.451 0.720 0.171

Computed properties:
* symmetry: C2/m, No. 12
* crystal system: monoclinic
* ΔE_f (raw): -75 kJ per mole of atoms
* VASP energy: -25.15 eV/cell

No. 2
KDyCuI6: relaxed, PBE-GGA.

abc: 8.319 7.434 7.900
angles: 85.48 81.79 55.97
Each line ends with the local moment (μB).
Fractional positions:
I: 0.634 0.371 0.775  0.02
Dy: 0.683 0.633 0.500  0.00
I: 0.992 0.639 0.671  0.09
K: 0.026 0.947 0.000  0.00
I: 0.995 0.370 0.225  0.02
I: 0.379 0.033 0.726  0.10
I: 0.589 0.032 0.273  0.10
I: 0.370 0.637 0.328  0.09
Cu: 0.332 0.338 0.500  0.31

Computed properties:
* symmetry: P1, No. 1
* crystal system: triclinic
* ΔE_f (raw): -90 kJ per mole of atoms
* VASP energy: -27.47 eV/cell